Here is a relaxed structure of PmNdNi from Alexandria. Energies are from PBE-GGA.

Lattice parameters (Å, degrees): 4.5809 4.5809 4.2854 90.00 90.00 120.00
Space group P3m1 (No. 156)
Unique sites:
Pm: 0.0000 0.0000 0.0000 (multiplicity 1)
Nd: 0.3333 0.6667 0.5272 (multiplicity 1)
Ni: 0.6667 0.3333 0.2506 (multiplicity 1)

Output
Calculated volume = 77.9 Å³ per cell
Energy above the most stable polymorph in this dataset = 18.10 kJ/mol of atoms
E_form = -0.03 eV per atom

---

Here is a relaxed structure of TiFe2MoH from Alexandria. Energies are from PBE-GGA.

Lattice parameters (Å, degrees): 3.6909 3.6909 4.0429 90.00 90.00 90.00
Space group P4/mmm (No. 123)
Unique sites:
Ti: 0.0000 0.0000 0.0000 (multiplicity 1)
Fe: 0.0000 0.5000 0.5000 (multiplicity 2)
Mo: 0.5000 0.5000 0.0000 (multiplicity 1)
H: 0.0000 0.0000 0.5000 (multiplicity 1)

Output
Calculated volume = 55.1 Å³ per cell
Energy above the most stable polymorph in this dataset = 0.00 kJ/mol of atoms

---

Here is a relaxed structure of Sb2AsPb from Alexandria. Energies are from PBE-GGA.

Lattice parameters (Å, degrees): 7.5286 7.5286 7.5286 90.00 90.00 90.00
Space group Fm-3m (No. 225)
Unique sites:
Sb: 0.2500 0.2500 0.2500 (multiplicity 8)
As: 0.0000 0.0000 0.0000 (multiplicity 4)
Pb: 0.0000 0.0000 0.5000 (multiplicity 4)

Output
Calculated volume = 426.7 Å³ per cell
Energy above the most stable polymorph in this dataset = 26.39 kJ/mol of atoms

---

Here is a relaxed structure of CaAc2N2 from Alexandria. Energies are from PBE-GGA.

Lattice parameters (Å, degrees): 3.7876 5.6438 11.3913 90.00 90.00 90.00
Space group Immm (No. 71)
Unique sites:
Ca: 0.0000 0.0000 0.0000 (multiplicity 2)
Ac: 0.0000 0.0000 0.3185 (multiplicity 4)
N: 0.0000 0.5000 0.3271 (multiplicity 4)

Output
Calculated volume = 243.5 Å³ per cell
Energy above the most stable polymorph in this dataset = 5.46 kJ/mol of atoms

---

Here is a relaxed structure of PrNdZnRh from Alexandria. Energies are from PBE-GGA.

Lattice parameters (Å, degrees): 4.4657 4.0527 10.9879 90.00 90.00 90.00
Space group Amm2 (No. 38)
Unique sites:
Pr: 0.0000 0.0000 0.0000 (multiplicity 2)
Nd: 0.5000 0.0000 0.2767 (multiplicity 2)
Zn: 0.5000 0.0000 0.5697 (multiplicity 2)
Rh: 0.0000 0.0000 0.7096 (multiplicity 2)

Output
Calculated volume = 198.9 Å³ per cell
Energy above the most stable polymorph in this dataset = 0.00 kJ/mol of atoms
E_form = -0.50 eV per atom

---

Here is a relaxed structure of AlTl8Te6 from Alexandria. Energies are from PBE-GGA.

Lattice parameters (Å, degrees): 9.1424 10.1464 11.9562 90.00 90.00 90.00
Space group Pmn2_1 (No. 31)
Unique sites:
Al: 0.0000 0.2308 0.0000 (multiplicity 2)
Tl: 0.0000 0.7465 0.9315 (multiplicity 2)
Tl: 0.0000 0.8464 0.5628 (multiplicity 2)
Tl: 0.2113 0.4470 0.3432 (multiplicity 4)
Tl: 0.2192 0.3116 0.6193 (multiplicity 4)
Tl: 0.2482 0.0655 0.2858 (multiplicity 4)
Te: 0.0000 0.0032 0.1090 (multiplicity 2)
Te: 0.0000 0.1522 0.4555 (multiplicity 2)
Te: 0.0000 0.4505 0.1221 (multiplicity 2)
Te: 0.0000 0.5469 0.6765 (multiplicity 2)
Te: 0.2469 0.2301 0.8824 (multiplicity 4)

Output
Calculated volume = 1109.1 Å³ per cell
Raw total energy = -3.03 eV per atom

---

Here is a relaxed structure of Ca3Pt5 from Alexandria. Energies are from PBE-GGA.

Lattice parameters (Å, degrees): 8.2060 8.3918 4.3582 90.00 90.00 90.00
Space group Cmmm (No. 65)
Unique sites:
Ca: 0.0000 0.0000 0.0000 (multiplicity 2)
Ca: 0.0000 0.2736 0.5000 (multiplicity 4)
Pt: 0.0000 0.5000 0.0000 (multiplicity 2)
Pt: 0.2436 0.0000 0.5000 (multiplicity 4)
Pt: 0.2500 0.2500 0.0000 (multiplicity 4)

Output
Calculated volume = 300.1 Å³ per cell
Energy above the most stable polymorph in this dataset = 0.38 kJ/mol of atoms
E_form = -0.69 eV per atom

---

Here is a relaxed structure of BaBiO2F from Alexandria. Energies are from PBE-GGA.

Lattice parameters (Å, degrees): 4.0485 14.2738 7.1054 90.00 90.00 90.00
Space group Cmcm (No. 63)
Unique sites:
Ba: 0.0000 0.2174 0.2500 (multiplicity 4)
Bi: 0.0000 0.5000 0.0000 (multiplicity 4)
O: 0.0000 0.3483 0.5178 (multiplicity 8)
F: 0.0000 0.0043 0.2500 (multiplicity 4)

Output
Calculated volume = 410.6 Å³ per cell
Raw total energy = -5.42 eV per atom

---

Here is a relaxed structure of AcZnRh from Alexandria. Energies are from PBE-GGA.

Lattice parameters (Å, degrees): 7.3878 4.2444 8.6241 90.00 90.00 90.00
Space group Pnma (No. 62)
Unique sites:
Ac: 0.0362 0.2500 0.1885 (multiplicity 4)
Zn: 0.1341 0.2500 0.5588 (multiplicity 4)
Rh: 0.2352 0.7500 0.3847 (multiplicity 4)

Output
Calculated volume = 270.4 Å³ per cell
Energy above the most stable polymorph in this dataset = 0.00 kJ/mol of atoms
E_form = -0.60 eV per atom

---

Here is a relaxed structure of AlSb2Br from Alexandria. Energies are from PBE-GGA.

Lattice parameters (Å, degrees): 4.0644 5.9838 9.5328 90.00 90.00 90.00
Space group Cmm2 (No. 35)
Unique sites:
Al: 0.0000 0.0000 0.0000 (multiplicity 2)
Sb: 0.0000 0.0000 0.4430 (multiplicity 2)
Sb: 0.0000 0.5000 0.2188 (multiplicity 2)
Br: 0.0000 0.5000 0.8173 (multiplicity 2)

Output
Calculated volume = 231.8 Å³ per cell
Energy above the most stable polymorph in this dataset = 23.00 kJ/mol of atoms

---

Here is a relaxed structure of Hf2BiSb2 from Alexandria. Energies are from PBE-GGA.

Lattice parameters (Å, degrees): 8.3389 8.3389 3.5997 90.00 90.00 90.00
Space group P4/mbm (No. 127)
Unique sites:
Hf: 0.1407 0.3593 0.0000 (multiplicity 4)
Bi: 0.0000 0.0000 0.5000 (multiplicity 2)
Sb: 0.1479 0.6479 0.5000 (multiplicity 4)

Output
Calculated volume = 250.3 Å³ per cell
Energy above the most stable polymorph in this dataset = 22.20 kJ/mol of atoms

---

Here is a relaxed structure of SnSbF3 from Alexandria. Energies are from PBE-GGA.

Lattice parameters (Å, degrees): 4.6558 4.6558 4.6558 90.00 90.00 90.00
Space group Pm-3m (No. 221)
Unique sites:
Sn: 0.0000 0.0000 0.0000 (multiplicity 1)
Sb: 0.5000 0.5000 0.5000 (multiplicity 1)
F: 0.0000 0.0000 0.5000 (multiplicity 3)

Output
Calculated volume = 100.9 Å³ per cell
Energy above the most stable polymorph in this dataset = 0.37 kJ/mol of atoms

---

Here is a relaxed structure of Sm2Dy7Y4 from Alexandria. Energies are from PBE-GGA.

Lattice parameters (Å, degrees): 6.3930 6.4651 11.6399 88.86 78.81 64.81
Space group P-1 (No. 2)
Unique sites:
Sm: 0.0709 0.2091 0.0144 (multiplicity 2)
Dy: 0.0044 0.4345 0.7552 (multiplicity 2)
Dy: 0.1586 0.8772 0.6983 (multiplicity 2)
Dy: 0.4449 0.0052 0.1802 (multiplicity 2)
Dy: 0.5000 0.5000 0.0000 (multiplicity 1)
Y: 0.2274 0.2121 0.4711 (multiplicity 2)
Y: 0.3749 0.6510 0.3868 (multiplicity 2)

Output
Calculated volume = 426.0 Å³ per cell
E_form = 0.14 eV per atom

---

Here is a relaxed structure of HgOsSe from Alexandria. Energies are from PBE-GGA.

Lattice parameters (Å, degrees): 4.3219 4.3219 3.5299 90.00 90.00 120.00
Space group P-6m2 (No. 187)
Unique sites:
Hg: 0.0000 0.0000 0.0000 (multiplicity 1)
Os: 0.6667 0.3333 0.5000 (multiplicity 1)
Se: 0.3333 0.6667 0.5000 (multiplicity 1)

Output
Calculated volume = 57.1 Å³ per cell
Energy above the most stable polymorph in this dataset = 44.83 kJ/mol of atoms

---

Here is a relaxed structure of La3Pm3YSe8 from Alexandria. Energies are from PBE-GGA.

Lattice parameters (Å, degrees): 8.4307 8.4307 20.9307 90.00 90.00 120.00
Space group R-3m (No. 166, hexagonal axes)
Unique sites:
La: 0.0000 0.5000 0.0000 (multiplicity 9)
Pm: 0.0000 0.5000 0.5000 (multiplicity 9)
Y: 0.0000 0.0000 0.5000 (multiplicity 3)
Se: 0.0000 0.0000 0.2476 (multiplicity 6)
Se: 0.0038 0.5019 0.2466 (multiplicity 18)

Output
Calculated volume = 1288.4 Å³ per cell
Raw total energy = -6.17 eV per atom

---

Here is a relaxed structure of Ba2BeI2 from Alexandria. Energies are from PBE-GGA.

Lattice parameters (Å, degrees): 6.6966 6.6966 10.3701 90.00 90.00 90.00
Space group I4/mmm (No. 139)
Unique sites:
Ba: 0.0000 0.5000 0.2500 (multiplicity 4)
Be: 0.0000 0.0000 0.0000 (multiplicity 2)
I: 0.0000 0.0000 0.3219 (multiplicity 4)

Output
Calculated volume = 465.0 Å³ per cell
Energy above the most stable polymorph in this dataset = 7.02 kJ/mol of atoms

---

Here is a relaxed structure of La11Er9Th4 from Alexandria. Energies are from PBE-GGA.

Lattice parameters (Å, degrees): 17.1661 25.9912 3.7168 90.00 90.00 90.00
Space group Cmmm (No. 65)
Unique sites:
La: 0.0000 0.0000 0.0000 (multiplicity 2)
La: 0.0000 0.1586 0.0000 (multiplicity 4)
La: 0.0000 0.3691 0.0000 (multiplicity 4)
La: 0.2056 0.5000 0.0000 (multiplicity 4)
La: 0.2277 0.1810 0.0000 (multiplicity 8)
Er: 0.0000 0.5000 0.5000 (multiplicity 2)
Er: 0.1008 0.2656 0.5000 (multiplicity 8)
Er: 0.1394 0.0727 0.5000 (multiplicity 8)
Th: 0.1569 0.3983 0.5000 (multiplicity 8)

Output
Calculated volume = 1658.3 Å³ per cell
E_form = 0.11 eV per atom

---

Here is a relaxed structure of GaNi3Rh from Alexandria. Energies are from PBE-GGA.

Lattice parameters (Å, degrees): 4.2572 4.2572 4.2572 90.00 90.00 90.00
Space group Pm-3m (No. 221)
Unique sites:
Ga: 0.0000 0.0000 0.0000 (multiplicity 1)
Ni: 0.0000 0.0000 0.5000 (multiplicity 3)
Rh: 0.5000 0.5000 0.5000 (multiplicity 1)

Output
Calculated volume = 77.2 Å³ per cell
Energy above the most stable polymorph in this dataset = 50.70 kJ/mol of atoms
E_form = 0.91 eV per atom

---

Here is a relaxed structure of CsUPdSe4 from Alexandria. Energies are from PBE-GGA.

Lattice parameters (Å, degrees): 6.8684 6.1197 9.9597 90.00 107.02 90.00
Space group P2_1/m (No. 11)
Unique sites:
Cs: 0.2301 0.2500 0.0444 (multiplicity 2)
U: 0.2571 0.2500 0.5495 (multiplicity 2)
Pd: 0.2409 0.7500 0.3600 (multiplicity 2)
Se: 0.0351 0.5212 0.6885 (multiplicity 4)
Se: 0.4652 0.7500 0.6012 (multiplicity 2)
Se: 0.4662 0.7500 0.1970 (multiplicity 2)

Output
Calculated volume = 400.3 Å³ per cell
Raw total energy = -5.34 eV per atom

---

Here is a relaxed structure of Si3IO from Alexandria. Energies are from PBE-GGA.

Lattice parameters (Å, degrees): 4.4961 4.4961 4.4961 90.00 90.00 90.00
Space group Pm-3m (No. 221)
Unique sites:
Si: 0.0000 0.0000 0.5000 (multiplicity 3)
I: 0.5000 0.5000 0.5000 (multiplicity 1)
O: 0.0000 0.0000 0.0000 (multiplicity 1)

Output
Calculated volume = 90.9 Å³ per cell
Energy above the most stable polymorph in this dataset = 0.00 kJ/mol of atoms

---

Here is a relaxed structure of Ca2AlBi from Alexandria. Energies are from PBE-GGA.

Lattice parameters (Å, degrees): 7.7393 7.7393 7.7393 90.00 90.00 90.00
Space group Fm-3m (No. 225)
Unique sites:
Ca: 0.2500 0.2500 0.2500 (multiplicity 8)
Al: 0.0000 0.0000 0.0000 (multiplicity 4)
Bi: 0.0000 0.0000 0.5000 (multiplicity 4)

Output
Calculated volume = 463.6 Å³ per cell
Energy above the most stable polymorph in this dataset = 4.66 kJ/mol of atoms
E_form = -0.39 eV per atom

---

Here is a relaxed structure of K3U3NbN8 from Alexandria. Energies are from PBE-GGA.

Lattice parameters (Å, degrees): 6.8454 6.8454 19.3889 90.00 90.00 120.00
Space group R-3m (No. 166, hexagonal axes)
Unique sites:
K: 0.0000 0.5000 0.0000 (multiplicity 9)
U: 0.0000 0.5000 0.5000 (multiplicity 9)
Nb: 0.0000 0.0000 0.5000 (multiplicity 3)
N: 0.0000 0.0000 0.2209 (multiplicity 6)
N: 0.0057 0.5028 0.2182 (multiplicity 18)

Output
Calculated volume = 786.9 Å³ per cell
Raw total energy = -8.55 eV per atom

---

Here is a relaxed structure of TiNiW3 from Alexandria. Energies are from PBE-GGA.

Lattice parameters (Å, degrees): 4.5177 4.5177 4.5177 90.00 90.00 90.00
Space group Pm-3m (No. 221)
Unique sites:
Ti: 0.0000 0.0000 0.0000 (multiplicity 1)
Ni: 0.5000 0.5000 0.5000 (multiplicity 1)
W: 0.0000 0.0000 0.5000 (multiplicity 3)

Output
Calculated volume = 92.2 Å³ per cell
Energy above the most stable polymorph in this dataset = 67.30 kJ/mol of atoms
E_form = 2.08 eV per atom